VCdN2O PBE+U relaxed; theoretical density = 4.82 g/cm³; magnetization = 0.5 Bohr magnetons per cell; raw total energy = -4.427 eV/atom
1.0
4.152 0.000 0.000
0.000 4.152 0.000
0.000 0.000 4.140
N V O Cd
2 1 1 1
direct
0.000 0.500 0.000
0.500 0.000 0.000
0.500 0.500 0.500
0.000 0.000 0.500
0.000 0.000 0.000